(1)
Here is crystalline Cd2TcBr at its relaxed geometry from Alexandria via LeMat-Bulk. Energies are from GGA-PBEsol.

Cell: 4.192 4.192 5.314 Å, 113.23 113.23 90.00°
Fractional positions:
1 Tc 0.500 0.500 0.000
2 Br 0.250 0.750 0.500
3 Cd 0.000 0.000 0.000
4 Cd 0.750 0.250 0.500

Output
Fermi-level density of states: 3.10 states/eV/f.u.
SG: I-4m2, No. 119
uncorrected formation energy: 0.69 eV per atom

---

(2)
Here is crystalline HfScP2S at its relaxed geometry from Alexandria via LeMat-Bulk. Energies are from GGA-PBEsol.

Cell: 4.762 4.880 4.880 Å, 90.00 90.00 90.00°
Fractional positions:
1 Sc 0.500 0.500 0.500
2 P 0.000 0.000 0.500
3 P 0.000 0.500 0.000
4 S 0.500 0.000 0.000
5 Hf 0.000 0.000 0.000

Output
Fermi-level density of states: 3.40 states/eV/f.u.
SG: P4/mmm, No. 123
uncorrected formation energy: -0.32 eV per atom